[1]
A plane-wave DFT calculation with PBE-GGA was carried out for a geometry-optimized MnGa structure.

Lattice parameters (Å, degrees): 8.902 8.902 2.825 90.00 90.00 90.00
Space group I4/mmm (No. 139)
Inequivalent atoms, fractional coordinates:
Mn (0.000, 0.336, 0.000) x8
Ga (0.157, 0.157, 0.500) x8

**Energy**: -6.1059 eV/atom
**Formation energy**: -0.01 eV/atom
**DOS(E_F)**: 15.58 states/eV per cell
**Magnetization**: 1.9 μB/f.u.


[2]
A plane-wave DFT calculation with PBE-GGA was carried out for a geometry-optimized Al3V12Os structure.

Lattice parameters (Å, degrees): 4.792 4.797 9.619 90.00 90.00 90.00
Space group Pmmm (No. 47)
Inequivalent atoms, fractional coordinates:
Al (0.000, 0.000, 0.000) x1
Al (0.500, 0.500, 0.249) x2
V (0.000, 0.246, 0.254) x4
V (0.248, 0.500, 0.500) x2
V (0.256, 0.500, 0.000) x2
V (0.500, 0.000, 0.129) x2
V (0.500, 0.000, 0.379) x2
Os (0.000, 0.000, 0.500) x1

**Energy**: -8.4505 eV/atom
**Formation energy**: -0.21 eV/atom
**DOS(E_F)**: 23.21 states/eV per cell
**Magnetization**: 0.0 μB/f.u.


[3]
A plane-wave DFT calculation with PBE-GGA was carried out for a geometry-optimized KReSb2 structure.

Lattice parameters (Å, degrees): 6.596 8.963 3.202 90.00 90.00 90.00
Space group Cmmm (No. 65)
Inequivalent atoms, fractional coordinates:
K (0.000, 0.000, 0.000) x2
Re (0.000, 0.500, 0.000) x2
Sb (0.250, 0.250, 0.500) x4

**ΔE to the lowest computed polymorph**: 866 meV/atom
**ΔE_f (raw)**: 0.923 eV per atom
**Energy**: -4.5247 eV/atom
**DOS(E_F)**: 5.88 states/eV per cell
**Magnetization**: 2.2 μB/f.u.


[4]
A plane-wave DFT calculation with PBE-GGA was carried out for a geometry-optimized BeNiRu structure.

Lattice parameters (Å, degrees): 3.8920 3.8920 2.5627 90.00 90.00 120.00
Space group P-6m2 (No. 187)
Inequivalent atoms, fractional coordinates:
Be (0.0000, 0.0000, 0.0000) x1
Ni (0.6667, 0.3333, 0.0000) x1
Ru (0.3333, 0.6667, 0.5000) x1

**Energy**: -6.2713 eV/atom
**Formation energy**: -0.01 eV/atom
**DOS(E_F)**: 2.97 states/eV per cell
**Magnetization**: 1.3 μB/f.u.


[5]
A plane-wave DFT calculation with PBE-GGA was carried out for a geometry-optimized LiPm2USe4 structure.

Lattice parameters (Å, degrees): 7.140 4.105 7.156 90.00 109.26 90.00
Space group P2/m (No. 10)
Inequivalent atoms, fractional coordinates:
Li (0.000, 0.000, 0.000) x1
Pm (0.500, 0.000, 0.500) x1
Pm (0.500, 0.500, 0.000) x1
U (0.000, 0.500, 0.500) x1
Se (0.236, 0.500, 0.241) x2
Se (0.238, 0.000, 0.753) x2

**ΔE_f (raw)**: -1.530 eV per atom
**Energy**: -6.1097 eV/atom
**DOS(E_F)**: 6.42 states/eV per cell
**Magnetization**: 3.0 μB/f.u.


[6]
A plane-wave DFT calculation with PBE-GGA was carried out for a geometry-optimized SrNi2Te structure.

Lattice parameters (Å, degrees): 4.903 4.903 16.610 90.00 90.00 90.00
Space group I4_1/amd (No. 141, origin choice 2)
Inequivalent atoms, fractional coordinates:
Sr (0.000, 0.250, 0.375) x4
Ni (0.000, 0.000, 0.000) x8
Te (0.000, 0.250, 0.875) x4

**ΔE to the lowest computed polymorph**: 78 meV/atom
**ΔE_f (raw)**: -0.298 eV per atom
**Energy**: -4.3944 eV/atom
**DOS(E_F)**: 8.83 states/eV per cell
**Magnetization**: 0.0 μB/f.u.


[7]
A plane-wave DFT calculation with PBE-GGA was carried out for a geometry-optimized PmY3Mg4 structure.

Lattice parameters (Å, degrees): 5.403 5.403 7.622 90.00 90.00 90.00
Space group P4/mmm (No. 123)
Inequivalent atoms, fractional coordinates:
Pm (0.000, 0.000, 0.000) x1
Y (0.000, 0.000, 0.500) x1
Y (0.500, 0.500, 0.000) x1
Y (0.500, 0.500, 0.500) x1
Mg (0.000, 0.500, 0.252) x4

**Energy**: -3.9246 eV/atom
**Formation energy**: -0.11 eV/atom
**DOS(E_F)**: 10.04 states/eV per cell
**Magnetization**: 0.0 μB/f.u.


[8]
A plane-wave DFT calculation with PBE-GGA was carried out for a geometry-optimized PuNpIrRh structure.

Lattice parameters (Å, degrees): 6.494 6.494 6.494 90.00 90.00 90.00
Space group F-43m (No. 216)
Inequivalent atoms, fractional coordinates:
Pu (0.000, 0.000, 0.000) x4
Np (0.250, 0.250, 0.250) x4
Ir (0.000, 0.000, 0.500) x4
Rh (0.250, 0.250, 0.750) x4

**Energy**: -11.2516 eV/atom
**Formation energy**: -0.38 eV/atom
**DOS(E_F)**: 44.45 states/eV per cell
**Magnetization**: 1.9 μB/f.u.


[9]
A plane-wave DFT calculation with PBE-GGA was carried out for a geometry-optimized LiZrNiRu structure.

Lattice parameters (Å, degrees): 6.186 6.186 6.186 90.00 90.00 90.00
Space group F-43m (No. 216)
Inequivalent atoms, fractional coordinates:
Li (0.000, 0.000, 0.000) x4
Zr (0.000, 0.000, 0.500) x4
Ni (0.250, 0.250, 0.750) x4
Ru (0.250, 0.250, 0.250) x4

**Energy**: -6.5564 eV/atom
**Formation energy**: -0.18 eV/atom
**DOS(E_F)**: 7.56 states/eV per cell
**Magnetization**: 0.0 μB/f.u.


[10]
A plane-wave DFT calculation with PBE-GGA was carried out for a geometry-optimized TlTe3 structure.

Lattice parameters (Å, degrees): 11.593 9.106 6.158 90.00 119.47 90.00
Space group C2/m (No. 12)
Inequivalent atoms, fractional coordinates:
Tl (0.192, 0.000, 0.344) x4
Te (0.033, 0.500, 0.781) x4
Te (0.113, 0.181, 0.766) x8

**ΔE_f (raw)**: -0.044 eV per atom
**Energy**: -2.9917 eV/atom
**DOS(E_F)**: 6.85 states/eV per cell
**Magnetization**: 0.0 μB/f.u.


[11]
A plane-wave DFT calculation with PBE-GGA was carried out for a geometry-optimized Na3Sn2Ge structure.

Lattice parameters (Å, degrees): 7.871 8.673 9.823 85.14 90.00 85.68
Space group P-1 (No. 2)
Inequivalent atoms, fractional coordinates:
Na (0.037, 0.152, 0.372) x2
Na (0.074, 0.323, 0.978) x2
Na (0.251, 0.766, 0.402) x2
Na (0.329, 0.641, 0.845) x2
Na (0.359, 0.338, 0.480) x2
Na (0.463, 0.178, 0.880) x2
Sn (0.047, 0.471, 0.655) x2
Sn (0.126, 0.948, 0.110) x2
Sn (0.278, 0.510, 0.182) x2
Sn (0.406, 0.953, 0.631) x2
Ge (0.124, 0.153, 0.699) x2
Ge (0.348, 0.172, 0.176) x2

**Energy**: -2.8792 eV/atom
**Formation energy**: -0.12 eV/atom
**DOS(E_F)**: 8.20 states/eV per cell
**Magnetization**: 0.0 μB/f.u.


[12]
A plane-wave DFT calculation with PBE-GGA was carried out for a geometry-optimized Ce3NdY2As6 structure.

Lattice parameters (Å, degrees): 7.272 12.596 7.261 90.00 109.52 90.00
Space group C2/m (No. 12)
Inequivalent atoms, fractional coordinates:
Ce (0.000, 0.000, 0.000) x2
Ce (0.000, 0.335, 0.000) x4
Nd (0.000, 0.500, 0.500) x2
Y (0.000, 0.167, 0.500) x4
As (0.245, 0.000, 0.749) x4
As (0.247, 0.169, 0.250) x8

**Energy**: -6.7674 eV/atom
**Formation energy**: -1.48 eV/atom
**DOS(E_F)**: 34.40 states/eV per cell
**Magnetization**: 1.9 μB/f.u.


[13]
A plane-wave DFT calculation with PBE-GGA was carried out for a geometry-optimized TmHgRh structure.

Lattice parameters (Å, degrees): 4.986 8.290 5.881 90.00 90.00 90.00
Space group Cmcm (No. 63)
Inequivalent atoms, fractional coordinates:
Tm (0.000, 0.161, 0.250) x4
Hg (0.000, 0.500, 0.000) x4
Rh (0.000, 0.182, 0.750) x4

**Energy**: -4.5832 eV/atom
**Formation energy**: -0.54 eV/atom
**DOS(E_F)**: 5.24 states/eV per cell
**Magnetization**: 0.0 μB/f.u.


[14]
A plane-wave DFT calculation with PBE-GGA was carried out for a geometry-optimized PmGaSb structure.

Lattice parameters (Å, degrees): 4.425 4.425 8.061 90.00 90.00 90.00
Space group P4/nmm (No. 129, origin choice 2)
Inequivalent atoms, fractional coordinates:
Pm (0.250, 0.250, 0.189) x2
Ga (0.250, 0.250, 0.820) x2
Sb (0.250, 0.750, 0.500) x2

**ΔE to the lowest computed polymorph**: 121 meV/atom
**ΔE_f (raw)**: -0.432 eV per atom
**Energy**: -4.3990 eV/atom
**DOS(E_F)**: 5.43 states/eV per cell
**Magnetization**: 0.0 μB/f.u.


[15]
A plane-wave DFT calculation with PBE-GGA was carried out for a geometry-optimized Y2SnPt2 structure.

Lattice parameters (Å, degrees): 3.856 3.856 16.459 90.00 90.00 90.00
Space group I4/mmm (No. 139)
Inequivalent atoms, fractional coordinates:
Y (0.000, 0.000, 0.120) x4
Sn (0.000, 0.000, 0.500) x2
Pt (0.000, 0.500, 0.250) x4

**Energy**: -6.6139 eV/atom
**Formation energy**: -0.81 eV/atom
**DOS(E_F)**: 5.02 states/eV per cell
**Magnetization**: 0.0 μB/f.u.


[16]
A plane-wave DFT calculation with PBE-GGA was carried out for a geometry-optimized LiTa2Br structure.

Lattice parameters (Å, degrees): 5.398 9.246 2.955 90.00 90.00 90.00
Space group Cmmm (No. 65)
Inequivalent atoms, fractional coordinates:
Li (0.000, 0.000, 0.000) x2
Ta (0.250, 0.250, 0.500) x4
Br (0.000, 0.500, 0.000) x2

**ΔE to the lowest computed polymorph**: 702 meV/atom
**ΔE_f (raw)**: 0.760 eV per atom
**Energy**: -6.0632 eV/atom
**DOS(E_F)**: 7.80 states/eV per cell
**Magnetization**: 0.0 μB/f.u.


[17]
A plane-wave DFT calculation with PBE-GGA was carried out for a geometry-optimized Al3MoH structure.

Lattice parameters (Å, degrees): 3.983 3.983 3.983 90.00 90.00 90.00
Space group Pm-3m (No. 221)
Inequivalent atoms, fractional coordinates:
Al (0.000, 0.000, 0.500) x3
Mo (0.500, 0.500, 0.500) x1
H (0.000, 0.000, 0.000) x1

**ΔE to the lowest computed polymorph**: 0 meV/atom
**Energy**: -5.0731 eV/atom
**DOS(E_F)**: 2.07 states/eV per cell
**Magnetization**: 1.5 μB/f.u.


[18]
A plane-wave DFT calculation with PBE-GGA was carried out for a geometry-optimized ScMo2Os structure.

Lattice parameters (Å, degrees): 3.168 4.574 8.953 90.00 90.00 90.00
Space group Imm2 (No. 44)
Inequivalent atoms, fractional coordinates:
Sc (0.000, 0.000, 0.000) x2
Mo (0.000, 0.000, 0.498) x2
Mo (0.000, 0.500, 0.763) x2
Os (0.000, 0.500, 0.241) x2

**ΔE to the lowest computed polymorph**: 89 meV/atom
**Energy**: -9.8313 eV/atom
**Formation energy**: -0.03 eV/atom
**DOS(E_F)**: 5.42 states/eV per cell
**Magnetization**: 0.0 μB/f.u.